Crystalline CaTbDy4Se8 at its relaxed geometry, computed with PBE.

Computed properties:
- Mass density: 5.74 g cm⁻³
- Raw formation energy: -1800 meV/atom

Lattice parameters (Å, degrees): 8.458 8.458 8.465 60.03 60.03 60.00
Atoms (fractional coordinates):
Se: 0.757 0.227 0.259
Se: 0.757 0.757 0.259
Se: 0.241 0.779 0.739
Dy: 0.002 0.494 0.502
Ca: 0.375 0.375 0.876
Se: 0.758 0.758 0.726
Dy: 0.625 0.625 0.125
Se: 0.241 0.241 0.739
Dy: 0.002 0.002 0.502
Se: 0.240 0.240 0.280
Se: 0.779 0.241 0.739
Se: 0.227 0.757 0.259
Tb: 0.002 0.002 0.994
Dy: 0.494 0.002 0.502

Crystalline CaTb4DySe8 at its relaxed geometry, computed with PBE.

Computed properties:
- Mass density: 5.66 g cm⁻³
- Raw formation energy: -1803 meV/atom

Lattice parameters (Å, degrees): 8.485 8.485 8.478 59.97 59.97 60.00
Atoms (fractional coordinates):
Tb: 0.625 0.625 0.126
Se: 0.240 0.240 0.279
Dy: 0.002 0.002 0.994
Tb: 0.002 0.002 0.502
Tb: 0.002 0.494 0.502
Se: 0.240 0.240 0.742
Se: 0.779 0.240 0.742
Se: 0.759 0.759 0.257
Se: 0.240 0.779 0.742
Se: 0.226 0.759 0.257
Ca: 0.375 0.375 0.875
Tb: 0.494 0.002 0.502
Se: 0.759 0.226 0.257
Se: 0.758 0.758 0.727

Crystalline Ca2DyThSe4 at its relaxed geometry, computed with PBE.

Computed properties:
- Mass density: 6.42 g cm⁻³
- Raw formation energy: -1772 meV/atom

Lattice parameters (Å, degrees): 4.098 7.134 7.379 108.57 90.00 90.00
Atoms (fractional coordinates):
Se: 0.000 0.758 0.256
Ca: 0.500 0.000 0.500
Se: 0.500 0.244 0.249
Ca: 0.000 0.500 0.500
Dy: 0.000 0.000 0.000
Se: 0.000 0.242 0.744
Se: 0.500 0.756 0.751
Th: 0.500 0.500 0.000

> Look up the mass density of the third one.

6.42 g cm⁻³

> Which value of mass density does entry 3 give?

6.42 g cm⁻³

> Among the records above, which one has the lowest mass density?

CaTb4DySe8